# Na2CoAsO4 (GGA+U, optimized geometry)
data_Na2CoAsO4
_symmetry_space_group_name_H-M 'C 1 2 1'
_symmetry_Int_Tables_number 5
_cell_length_a 7.928
_cell_length_b 6.425
_cell_length_c 5.768
_cell_angle_alpha 90.00
_cell_angle_beta 133.39
_cell_angle_gamma 90.00
loop_
_symmetry_equiv_pos_as_xyz
'x,y,z'
'-x,y,-z'
'x+1/2,y+1/2,z'
'-x+1/2,y+1/2,-z'
loop_
_atom_site_label
_atom_site_fract_x
_atom_site_fract_y
_atom_site_fract_z
_atom_site_occupancy
Na1 0.000 0.000 0.000 1
Na2 0.000 0.237 0.500 1
Co1 0.000 0.750 0.500 1
As1 0.000 0.503 0.000 1
O1 0.162 0.663 0.972 1
O2 0.186 0.347 0.340 1
# DOS at the Fermi energy = 7.30 states/eV per cell
# Energy = -5.33 eV per atom
# Theoretical density = 3.79 g/cm3
# Calculated volume = 213.5 Å³/cell